Entry from Alexandria: a relaxed CaIn5Rh3 crystal (PBE).

Total magnetization = 0.0 μB per cell
Space-group type = Cmcm
ΔH_f (0 K) = -0.2555 eV/atom

```
data_CaIn5Rh3
_chemical_formula_sum 'Ca2 In10 Rh6'
_cell_length_a 7.465
_cell_length_b 7.465
_cell_length_c 14.003
_cell_angle_alpha 90.00
_cell_angle_beta 90.00
_cell_angle_gamma 148.14
_space_group_name_H-M_alt 'P 1'
_space_group_IT_number 1
loop_
_space_group_symop_operation_xyz
'x,y,z'
loop_
_atom_site_label
_atom_site_type_symbol
_atom_site_fract_x
_atom_site_fract_y
_atom_site_fract_z
Ca1 Ca 0.174 0.826 0.750
Ca2 Ca 0.826 0.174 0.250
In1 In 0.000 0.000 0.000
In2 In 0.000 0.000 0.500
In3 In 0.207 0.793 0.069
In4 In 0.207 0.793 0.431
In5 In 0.446 0.554 0.649
In6 In 0.446 0.554 0.851
In7 In 0.554 0.446 0.149
In8 In 0.554 0.446 0.351
In9 In 0.793 0.207 0.569
In10 In 0.793 0.207 0.931
Rh1 Rh 0.138 0.862 0.250
Rh2 Rh 0.390 0.610 0.043
Rh3 Rh 0.390 0.610 0.457
Rh4 Rh 0.610 0.390 0.543
Rh5 Rh 0.610 0.390 0.957
Rh6 Rh 0.862 0.138 0.750
```

---

Entry from Alexandria: a relaxed Ca2In8Rh crystal (PBE).

Total magnetization = 0.0 μB per cell
Space-group type = P4/mmm
ΔH_f (0 K) = -0.3510 eV/atom

```
data_Ca2In8Rh
_chemical_formula_sum 'Ca2 In8 Rh1'
_cell_length_a 4.705
_cell_length_b 4.705
_cell_length_c 12.301
_cell_angle_alpha 90.00
_cell_angle_beta 90.00
_cell_angle_gamma 90.00
_space_group_name_H-M_alt 'P 1'
_space_group_IT_number 1
loop_
_space_group_symop_operation_xyz
'x,y,z'
loop_
_atom_site_label
_atom_site_type_symbol
_atom_site_fract_x
_atom_site_fract_y
_atom_site_fract_z
Ca1 Ca 0.000 0.000 0.193
Ca2 Ca 0.000 0.000 0.807
In1 In 0.000 0.500 0.000
In2 In 0.000 0.500 0.378
In3 In 0.000 0.500 0.622
In4 In 0.500 0.000 0.000
In5 In 0.500 0.000 0.378
In6 In 0.500 0.000 0.622
In7 In 0.500 0.500 0.191
In8 In 0.500 0.500 0.809
Rh1 Rh 0.000 0.000 0.500
```

---

Entry from Alexandria: a relaxed Ca8In2Rh crystal (PBE).

Total magnetization = 0.0 μB per cell
Space-group type = C2/m
ΔH_f (0 K) = -0.3002 eV/atom

```
data_Ca8In2Rh
_chemical_formula_sum 'Ca8 In2 Rh1'
_cell_length_a 9.674
_cell_length_b 9.674
_cell_length_c 7.206
_cell_angle_alpha 108.81
_cell_angle_beta 108.81
_cell_angle_gamma 33.12
_space_group_name_H-M_alt 'P 1'
_space_group_IT_number 1
loop_
_space_group_symop_operation_xyz
'x,y,z'
loop_
_atom_site_label
_atom_site_type_symbol
_atom_site_fract_x
_atom_site_fract_y
_atom_site_fract_z
Ca1 Ca 0.019 0.019 0.290
Ca2 Ca 0.206 0.206 0.782
Ca3 Ca 0.352 0.352 0.554
Ca4 Ca 0.405 0.405 0.087
Ca5 Ca 0.595 0.595 0.913
Ca6 Ca 0.648 0.648 0.446
Ca7 Ca 0.794 0.794 0.218
Ca8 Ca 0.981 0.981 0.710
In1 In 0.180 0.180 0.204
In2 In 0.820 0.820 0.796
Rh1 Rh 0.500 0.500 0.500
```

---

Copy entry 3 word for word.
Entry from Alexandria: a relaxed Ca8In2Rh crystal (PBE).

Total magnetization = 0.0 μB per cell
Space-group type = C2/m
ΔH_f (0 K) = -0.3002 eV/atom

```
data_Ca8In2Rh
_chemical_formula_sum 'Ca8 In2 Rh1'
_cell_length_a 9.674
_cell_length_b 9.674
_cell_length_c 7.206
_cell_angle_alpha 108.81
_cell_angle_beta 108.81
_cell_angle_gamma 33.12
_space_group_name_H-M_alt 'P 1'
_space_group_IT_number 1
loop_
_space_group_symop_operation_xyz
'x,y,z'
loop_
_atom_site_label
_atom_site_type_symbol
_atom_site_fract_x
_atom_site_fract_y
_atom_site_fract_z
Ca1 Ca 0.019 0.019 0.290
Ca2 Ca 0.206 0.206 0.782
Ca3 Ca 0.352 0.352 0.554
Ca4 Ca 0.405 0.405 0.087
Ca5 Ca 0.595 0.595 0.913
Ca6 Ca 0.648 0.648 0.446
Ca7 Ca 0.794 0.794 0.218
Ca8 Ca 0.981 0.981 0.710
In1 In 0.180 0.180 0.204
In2 In 0.820 0.820 0.796
Rh1 Rh 0.500 0.500 0.500
```

---

- The lowest ΔH_f (0 K) belongs to which entry?
  Ca2In8Rh

---

- Number 2 is which compound?
  Ca2In8Rh